[1]
Computed, not measured: a geometry-optimized LiLaAs2 structure at the PBE level of DFT.

The space group is Pmm2 (No. 25) and the conventional cell measures 4.265, 4.276 and 5.896 Å, with angles of 90.00, 90.00 and 90.00 degrees. The distinct sites, in fractional coordinates, are Li at (0.000, 0.000, 0.000), La at (0.500, 0.500, 0.504), As at (0.000, 0.000, 0.499) and As at (0.500, 0.500, 0.004).

The density of states at the Fermi level is 4.285 states/eV/f.u. The distance to the lowest polymorph of the same formula comes out at 434 meV per atom. Its formation energy is -2.43 eV per formula unit. The calculation puts the theoretical density at 4.57 g/cm3. The total energy is -4.643 eV per atom. The calculation puts the total magnetic moment at 0.00 μB/f.u.


[2]
Computed, not measured: a geometry-optimized LiLaAs2 structure at the PBE level of DFT.

The space group is I-42d (No. 122) and the conventional cell measures 4.998, 4.998 and 15.946 Å, with angles of 90.00, 90.00 and 90.00 degrees. The distinct sites, in fractional coordinates, are Li at (0.000, 0.000, 0.000), La at (0.000, 0.000, 0.500) and As at (0.087, 0.250, 0.125).

The density of states at the Fermi level is 2.308 states/eV/f.u. The distance to the lowest polymorph of the same formula comes out at 340 meV per atom. Its formation energy is -2.81 eV per formula unit. The calculation puts the theoretical density at 4.93 g/cm3. The total energy is -4.737 eV per atom. The calculation puts the total magnetic moment at 0.00 μB/f.u.